{"formula": "Li2IrSeO6", "functional": "GGA-PBE", "state": "optimized geometry", "rho_g_cm3": 4.3, "dft_energy_ev_per_atom": -5.51, "raw_formation_energy_ev_per_atom": -0.917, "n_ef_per_ev_cell": 3.0, "lattice_angstrom": [[5.446, 0.000, 0.000], [0.000, 5.446, 0.000], [0.000, 0.000, 4.976]], "species": ["Li", "Li", "Ir", "Se", "O", "O", "O", "O", "O", "O"], "frac_coords": [[0.000, 0.500, 0.000], [0.500, 0.000, 0.000], [0.000, 0.000, 0.743], [0.500, 0.500, 0.756], [0.000, 0.000, 0.390], [0.240, 0.240, 0.872], [0.240, 0.760, 0.872], [0.500, 0.500, 0.427], [0.760, 0.240, 0.872], [0.760, 0.760, 0.872]]}